First-principles (PBE-GGA) data for a geometry-optimized Hg3Pb2 structure, as listed in the Alexandria database.

Output
As for the polymorph energy (0 for the lowest one): 0.000 eV/atom. The symmetry is R-3m, No. 166. The volume comes out at 145.1 Å³/f.u. As for the energy of formation from the pure elements: 0.0297 eV/atom. Its uncorrected energy is -1.635 eV/atom.

a = 3.4507 Å, b = 3.4507 Å, c = 14.2079 Å
α = 83.03°, β = 83.03°, γ = 60.00°
Fractional coordinates of all 5 atoms:
Pb 0.7021 0.7021 0.8938
Pb 0.2979 0.2979 0.1062
Hg 0.8962 0.8962 0.3113
Hg 0.1038 0.1038 0.6887
Hg 0.5000 0.5000 0.5000


First-principles (PBE-GGA) data for a geometry-optimized RbPtBr structure, as listed in the Alexandria database.

Output
As for the polymorph energy (0 for the lowest one): 0.351 eV/atom. Its formation energy from raw total energies is -0.311 eV per atom. The symmetry is P6_3/mmc, No. 194. The volume comes out at 89.0 Å³/f.u. Its uncorrected energy is -3.205 eV/atom.

a = 4.5012 Å, b = 4.5012 Å, c = 10.1427 Å
α = 90.00°, β = 90.00°, γ = 120.00°
Fractional coordinates of all 6 atoms:
Pt 0.3333 0.6667 0.2500
Pt 0.6667 0.3333 0.7500
Br 0.3333 0.6667 0.7500
Br 0.6667 0.3333 0.2500
Rb 0.0000 0.0000 0.5000
Rb 0.0000 0.0000 0.0000


First-principles (PBE-GGA) data for a geometry-optimized Ce2NdY6Ho3 structure, as listed in the Alexandria database.

Output
The symmetry is C2/m, No. 12. The volume comes out at 383.0 Å³/f.u. As for the energy of formation from the pure elements: 0.0544 eV/atom. Its uncorrected energy is -5.708 eV/atom.

a = 6.1710 Å, b = 6.1710 Å, c = 11.7919 Å
α = 95.00°, β = 95.00°, γ = 119.99°
Site moments in Bohr magnetons follow the coordinates.
Fractional coordinates of all 12 atoms:
Y 0.4197 0.0841 0.2508  -0.01
Y 0.5803 0.9159 0.7492  -0.01
Y 0.0841 0.4197 0.2508  -0.01
Y 0.7483 0.7483 0.2507  -0.01
Y 0.2517 0.2517 0.7493  -0.01
Y 0.9159 0.5803 0.7492  -0.01
Nd 0.0000 0.0000 0.0000  -0.01
Ce 0.3333 0.6667 0.0000  -0.76
Ce 0.6667 0.3333 0.0000  -0.76
Ho 0.5000 0.5000 0.5000  0.03
Ho 0.1663 0.8337 0.5000  0.03
Ho 0.8337 0.1663 0.5000  0.03